Below is crystalline Sm2PuCoO8 at its relaxed geometry, with properties calculated at the GGA+U level.

POSCAR file:
```
Sm2PuCoO8
1.0
4.602 0.000 0.000
0.606 5.126 0.000
0.368 0.879 7.169
Sm Pu Co O
2 1 1 8
direct
0.098 0.019 0.235
0.902 0.981 0.765
0.500 0.500 0.500
0.500 0.500 0.000
0.139 0.735 0.525
0.222 0.787 0.987
0.354 0.379 0.240
0.372 0.212 0.668
0.628 0.788 0.332
0.646 0.621 0.760
0.778 0.213 0.013
0.861 0.265 0.475
```

Properties
* DOS(E_F): 0.005 states/eV per atom
* E: -8.160 eV per atom